# 1
VASP calculation (SCAN) on a crystal of BeNbRe2W relaxed with PBEsol.

Output
total energy = -49.21 eV per atom
calculated volume = 73 Å³/cell
calculated formation energy = 0.6678 eV per atom

Unit cell a=4.130 b=4.130 c=4.284 alpha=90.00 beta=90.00 gamma=90.00
Element x y z (fractional)
Re (0.000, 0.500, 0.000)
Re (0.500, 0.000, 0.000)
Nb (0.000, 0.000, 0.500)
W (0.500, 0.500, 0.500)
Be (0.000, 0.000, 0.000)

=====

# 2
VASP calculation (SCAN) on a crystal of TiF4 relaxed with PBEsol.

Output
uncorrected formation energy = -3.523 eV per atom
total energy = -9.56 eV per atom
calculated volume = 855 Å³/cell

Unit cell a=3.865 b=9.634 c=22.959 alpha=90.00 beta=90.00 gamma=90.00
Element x y z (fractional)
F (0.250, 0.644, 0.071)
F (0.750, 0.356, 0.929)
F (0.750, 0.144, 0.429)
F (0.250, 0.856, 0.571)
F (0.250, 0.637, 0.499)
F (0.750, 0.363, 0.501)
F (0.750, 0.137, 0.001)
F (0.250, 0.863, 0.999)
F (0.250, 0.921, 0.791)
F (0.750, 0.079, 0.209)
F (0.750, 0.421, 0.709)
F (0.250, 0.579, 0.291)
F (0.250, 0.305, 0.774)
F (0.750, 0.695, 0.226)
F (0.750, 0.805, 0.726)
F (0.250, 0.195, 0.274)
F (0.250, 0.334, 0.421)
F (0.750, 0.666, 0.579)
F (0.750, 0.834, 0.079)
F (0.250, 0.166, 0.921)
F (0.250, 0.112, 0.527)
F (0.750, 0.888, 0.473)
F (0.750, 0.612, 0.973)
F (0.250, 0.388, 0.027)
F (0.250, 0.025, 0.093)
F (0.750, 0.975, 0.907)
F (0.750, 0.525, 0.407)
F (0.250, 0.475, 0.593)
F (0.250, 0.807, 0.160)
F (0.750, 0.193, 0.840)
F (0.750, 0.307, 0.340)
F (0.250, 0.693, 0.660)
F (0.250, 0.967, 0.399)
F (0.750, 0.033, 0.601)
F (0.750, 0.467, 0.101)
F (0.250, 0.533, 0.899)
F (0.250, 0.855, 0.271)
F (0.750, 0.145, 0.729)
F (0.750, 0.355, 0.229)
F (0.250, 0.645, 0.771)
F (0.250, 0.208, 0.636)
F (0.750, 0.792, 0.364)
F (0.750, 0.708, 0.864)
F (0.250, 0.292, 0.136)
F (0.250, 0.547, 0.175)
F (0.750, 0.453, 0.825)
F (0.750, 0.047, 0.325)
F (0.250, 0.953, 0.675)
Ti (0.250, 0.651, 0.575)
Ti (0.750, 0.349, 0.425)
Ti (0.750, 0.151, 0.925)
Ti (0.250, 0.849, 0.075)
Ti (0.250, 0.450, 0.099)
Ti (0.750, 0.550, 0.901)
Ti (0.750, 0.950, 0.401)
Ti (0.250, 0.050, 0.599)
Ti (0.250, 0.803, 0.733)
Ti (0.750, 0.197, 0.267)
Ti (0.750, 0.303, 0.767)
Ti (0.250, 0.697, 0.233)

=====

# 3
VASP calculation (SCAN) on a crystal of Li4Mn3O7 relaxed with PBEsol.

Output
uncorrected formation energy = -2.261 eV per atom
total energy = -9.97 eV per atom
calculated volume = 242 Å³/cell

Unit cell a=5.202 b=5.870 c=8.481 alpha=92.06 beta=93.74 gamma=110.49
Last column: magnetic moment on the atom in μB.
Element x y z (fractional)
Li (0.420, 0.848, 0.362)  0.00
Li (0.288, 0.569, 0.074)  0.00
Li (0.847, 0.716, 0.215)  0.00
Li (0.712, 0.431, 0.926)  0.00
Li (0.153, 0.284, 0.785)  0.00
Li (0.580, 0.152, 0.638)  0.00
Li (0.000, 0.000, 0.500)  0.00
Li (0.000, 0.500, 0.500)  0.00
Mn (0.570, 0.642, 0.639)  2.83
Mn (0.430, 0.358, 0.361)  2.83
Mn (0.285, 0.069, 0.074)  3.66
Mn (0.142, 0.781, 0.782)  3.65
Mn (0.858, 0.219, 0.218)  3.65
Mn (0.715, 0.931, 0.926)  3.66
O (0.689, 0.669, 0.433)  0.07
O (0.551, 0.381, 0.149)  0.10
O (0.160, 0.499, 0.291)  0.04
O (0.976, 0.240, 0.003)  0.11
O (0.404, 0.096, 0.864)  0.11
O (0.837, 0.957, 0.716)  0.10
O (0.308, 0.800, 0.590)  0.04
O (0.163, 0.043, 0.284)  0.10
O (0.024, 0.760, 0.997)  0.11
O (0.596, 0.904, 0.136)  0.11
O (0.449, 0.619, 0.851)  0.10
O (0.840, 0.501, 0.709)  0.04
O (0.311, 0.331, 0.567)  0.07
O (0.692, 0.200, 0.410)  0.04

=====

# 4
VASP calculation (SCAN) on a crystal of Li2Fe3NiO8 relaxed with PBEsol.

Output
uncorrected formation energy = -1.675 eV per atom
total energy = -10.62 eV per atom
calculated volume = 245 Å³/cell

Unit cell a=5.504 b=5.504 c=9.344 alpha=90.00 beta=90.00 gamma=119.99
Last column: magnetic moment on the atom in μB.
Element x y z (fractional)
Li (0.833, 0.167, 0.896)  0.00
Li (0.500, 0.500, 0.995)  0.00
Li (0.500, 0.500, 0.495)  0.00
Li (0.167, 0.833, 0.396)  0.00
Fe (0.675, 0.850, 0.213)  1.57
Fe (0.150, 0.325, 0.213)  1.57
Fe (0.675, 0.325, 0.213)  1.57
Fe (0.325, 0.675, 0.713)  1.57
Fe (0.850, 0.675, 0.713)  1.57
Fe (0.325, 0.150, 0.713)  1.57
Ni (0.833, 0.167, 0.491)  -1.37
Ni (0.167, 0.833, 0.991)  -1.37
O (0.663, 0.825, 0.606)  0.09
O (0.982, 0.018, 0.337)  0.07
O (0.833, 0.167, 0.097)  0.10
O (0.500, 0.500, 0.308)  0.01
O (0.500, 0.500, 0.808)  0.01
O (0.175, 0.337, 0.606)  0.09
O (0.536, 0.018, 0.337)  0.07
O (0.982, 0.464, 0.337)  0.07
O (0.337, 0.663, 0.106)  0.09
O (0.663, 0.337, 0.606)  0.09
O (0.018, 0.536, 0.837)  0.07
O (0.464, 0.982, 0.837)  0.07
O (0.167, 0.833, 0.597)  0.10
O (0.825, 0.663, 0.106)  0.09
O (0.018, 0.982, 0.837)  0.07
O (0.337, 0.175, 0.106)  0.09

=====

# 5
VASP calculation (SCAN) on a crystal of ZnRe2Ir relaxed with PBEsol.

Output
total energy = -56.64 eV per atom
calculated volume = 56 Å³/cell
calculated formation energy = 0.0603 eV per atom

Unit cell a=2.719 b=4.014 c=5.171 alpha=90.00 beta=90.00 gamma=90.00
Element x y z (fractional)
Ir (0.500, 0.500, 0.500)
Re (0.000, 0.000, 0.760)
Re (0.000, 0.000, 0.240)
Zn (0.500, 0.500, 0.000)

=====

# 6
VASP calculation (SCAN) on a crystal of Se2O5 relaxed with PBEsol.

Output
uncorrected formation energy = -0.584 eV per atom
total energy = -10.77 eV per atom
calculated volume = 438 Å³/cell

Unit cell a=4.678 b=6.875 c=13.615 alpha=90.00 beta=90.91 gamma=90.00
Element x y z (fractional)
O (0.294, 0.187, 0.469)
O (0.706, 0.687, 0.031)
O (0.706, 0.813, 0.531)
O (0.294, 0.313, 0.969)
O (0.705, 0.423, 0.381)
O (0.295, 0.923, 0.119)
O (0.295, 0.577, 0.619)
O (0.705, 0.077, 0.881)
O (0.731, 0.041, 0.353)
O (0.269, 0.541, 0.147)
O (0.269, 0.959, 0.647)
O (0.731, 0.459, 0.853)
O (0.265, 0.236, 0.276)
O (0.735, 0.736, 0.224)
O (0.735, 0.764, 0.724)
O (0.265, 0.264, 0.776)
O (0.707, 0.261, 0.137)
O (0.293, 0.761, 0.363)
O (0.293, 0.739, 0.863)
O (0.707, 0.239, 0.637)
Se (0.499, 0.231, 0.374)
Se (0.501, 0.731, 0.126)
Se (0.501, 0.769, 0.626)
Se (0.499, 0.269, 0.874)
Se (0.363, 0.265, 0.136)
Se (0.637, 0.765, 0.364)
Se (0.637, 0.735, 0.864)
Se (0.363, 0.235, 0.636)

=====

# 7
VASP calculation (SCAN) on a crystal of KMgS2Cl relaxed with PBEsol.

Output
uncorrected formation energy = -0.987 eV per atom
total energy = -9.09 eV per atom
calculated volume = 120 Å³/cell

Unit cell a=4.807 b=4.807 c=5.205 alpha=90.00 beta=90.00 gamma=90.00
Last column: magnetic moment on the atom in μB.
Element x y z (fractional)
Mg (0.000, 0.000, 0.000)  -0.01
K (0.500, 0.500, 0.500)  0.00
S (0.000, 0.500, 0.000)  0.48
S (0.500, 0.000, 0.000)  0.48
Cl (0.000, 0.000, 0.500)  0.10

=====

# 8
VASP calculation (SCAN) on a crystal of Al2Cu relaxed with PBEsol.

Output
total energy = -10.25 eV per atom
calculated volume = 44 Å³/cell
calculated formation energy = -0.0137 eV per atom

Unit cell a=2.879 b=4.197 c=4.197 alpha=120.00 beta=90.00 gamma=90.00
Element x y z (fractional)
Al (0.747, 0.333, 0.667)
Al (0.253, 0.667, 0.333)
Cu (0.000, 0.000, 0.000)

=====

# 9
VASP calculation (SCAN) on a crystal of K2MgAsI relaxed with PBEsol.

Output
uncorrected formation energy = 0.234 eV per atom
total energy = -15.48 eV per atom
calculated volume = 244 Å³/cell

Unit cell a=5.488 b=6.671 c=6.671 alpha=90.00 beta=90.00 gamma=90.00
Last column: magnetic moment on the atom in μB.
Element x y z (fractional)
I (0.500, 0.000, 0.000)  0.01
As (0.500, 0.500, 0.500)  0.62
Mg (0.000, 0.000, 0.000)  0.00
K (0.000, 0.000, 0.500)  0.00
K (0.000, 0.500, 0.000)  0.00

=====

# 10
VASP calculation (SCAN) on a crystal of NiBPb3 relaxed with PBEsol.

Output
total energy = -49.17 eV per atom
calculated volume = 124 Å³/cell
calculated formation energy = 1.0177 eV per atom

Unit cell a=4.987 b=4.987 c=4.987 alpha=90.00 beta=90.00 gamma=90.00
Element x y z (fractional)
Pb (0.000, 0.500, 0.000)
Pb (0.000, 0.000, 0.500)
Pb (0.500, 0.000, 0.000)
Ni (0.000, 0.000, 0.000)
B (0.500, 0.500, 0.500)

=====

# 11
VASP calculation (SCAN) on a crystal of ZnCuP2 relaxed with PBEsol.

Output
total energy = -11.91 eV per atom
calculated volume = 55 Å³/cell
calculated formation energy = 0.4679 eV per atom

Unit cell a=3.945 b=4.518 c=3.945 alpha=64.11 beta=90.00 gamma=115.89
Element x y z (fractional)
Cu (0.000, 0.000, 0.000)
P (0.250, 0.500, 0.250)
P (0.750, 0.500, 0.750)
Zn (0.500, 0.000, 0.500)

=====

# 12
VASP calculation (SCAN) on a crystal of Mn2P2O7 relaxed with PBEsol.

Output
uncorrected formation energy = -2.426 eV per atom
total energy = -11.60 eV per atom
calculated volume = 125 Å³/cell

Unit cell a=4.544 b=5.397 c=5.397 alpha=104.54 beta=97.80 gamma=97.80
Last column: magnetic moment on the atom in μB.
Element x y z (fractional)
Mn (0.000, 0.306, 0.694)  4.60
Mn (0.000, 0.690, 0.310)  4.60
P (0.592, 0.780, 0.784)  0.02
P (0.408, 0.216, 0.220)  0.02
O (0.500, 0.998, 0.002)  0.01
O (0.777, 0.622, 0.925)  0.05
O (0.223, 0.075, 0.378)  0.05
O (0.777, 0.921, 0.626)  0.05
O (0.223, 0.374, 0.079)  0.05
O (0.290, 0.621, 0.625)  0.05
O (0.710, 0.375, 0.379)  0.05

=====

# 13
VASP calculation (SCAN) on a crystal of CrMo7 relaxed with PBEsol.

Output
total energy = -32.78 eV per atom
calculated volume = 237 Å³/cell
calculated formation energy = 0.0459 eV per atom

Unit cell a=6.188 b=6.188 c=6.188 alpha=89.91 beta=89.91 gamma=89.91
Element x y z (fractional)
Cr (0.876, 0.876, 0.876)
Cr (0.124, 0.124, 0.124)
Mo (0.627, 0.627, 0.627)
Mo (0.123, 0.627, 0.627)
Mo (0.627, 0.123, 0.627)
Mo (0.123, 0.123, 0.628)
Mo (0.372, 0.877, 0.877)
Mo (0.877, 0.372, 0.877)
Mo (0.373, 0.373, 0.877)
Mo (0.627, 0.627, 0.123)
Mo (0.123, 0.628, 0.123)
Mo (0.628, 0.123, 0.123)
Mo (0.877, 0.877, 0.372)
Mo (0.373, 0.877, 0.373)
Mo (0.877, 0.373, 0.373)
Mo (0.373, 0.373, 0.373)

=====

# 14
VASP calculation (SCAN) on a crystal of KZn2Si relaxed with PBEsol.

Output
uncorrected formation energy = 0.080 eV per atom
total energy = -11.26 eV per atom
calculated volume = 93 Å³/cell

Unit cell a=4.237 b=4.210 c=6.522 alpha=109.05 beta=90.00 gamma=120.22
Element x y z (fractional)
K (0.500, 0.000, 0.000)
Si (0.000, 0.000, 0.500)
Zn (0.699, 0.399, 0.599)
Zn (0.301, 0.601, 0.401)

=====

# 15
VASP calculation (SCAN) on a crystal of Sr2CaCu relaxed with PBEsol.

Output
total energy = -17.31 eV per atom
calculated volume = 140 Å³/cell
calculated formation energy = 0.0419 eV per atom

Unit cell a=3.789 b=3.789 c=9.726 alpha=90.00 beta=90.00 gamma=90.00
Element x y z (fractional)
Sr (0.000, 0.000, 0.684)
Sr (0.000, 0.000, 0.316)
Ca (0.500, 0.500, 0.000)
Cu (0.500, 0.500, 0.500)

=====

# 16
VASP calculation (SCAN) on a crystal of Fe6Co relaxed with PBEsol.

Output
total energy = -18.10 eV per atom
calculated volume = 76 Å³/cell
calculated formation energy = -0.0875 eV per atom

Unit cell a=2.785 b=4.639 c=6.257 alpha=97.79 beta=90.00 gamma=107.47
Last column: magnetic moment on the atom in μB.
Element x y z (fractional)
Co (0.000, 0.000, 0.000)  1.75
Fe (0.286, 0.572, 0.858)  2.66
Fe (0.570, 0.141, 0.715)  2.69
Fe (0.856, 0.713, 0.572)  2.54
Fe (0.144, 0.287, 0.428)  2.54
Fe (0.430, 0.859, 0.285)  2.69
Fe (0.714, 0.428, 0.142)  2.66

=====

# 17
VASP calculation (SCAN) on a crystal of SrSiS2N relaxed with PBEsol.

Output
uncorrected formation energy = 1.069 eV per atom
total energy = -11.10 eV per atom
calculated volume = 135 Å³/cell

Unit cell a=4.597 b=5.423 c=5.423 alpha=90.00 beta=90.00 gamma=90.00
Last column: magnetic moment on the atom in μB.
Element x y z (fractional)
Sr (0.000, 0.000, 0.000)  0.05
S (0.000, 0.000, 0.500)  0.28
S (0.000, 0.500, 0.000)  0.28
Si (0.500, 0.500, 0.500)  -0.07
N (0.500, 0.000, 0.000)  1.59

=====

# 18
VASP calculation (SCAN) on a crystal of Dy2NiIr relaxed with PBEsol.

Output
total energy = -46.48 eV per atom
calculated volume = 75 Å³/cell
calculated formation energy = -0.7605 eV per atom

Unit cell a=4.736 b=4.736 c=4.736 alpha=60.00 beta=60.00 gamma=60.00
Element x y z (fractional)
Ni (0.000, 0.000, 0.000)
Ir (0.500, 0.500, 0.500)
Dy (0.750, 0.750, 0.750)
Dy (0.250, 0.250, 0.250)

=====

# 19
VASP calculation (SCAN) on a crystal of BaZrTi2Mn relaxed with PBEsol.

Output
total energy = -23.63 eV per atom
calculated volume = 110 Å³/cell
calculated formation energy = 0.4846 eV per atom

Unit cell a=4.713 b=4.713 c=4.948 alpha=90.00 beta=90.00 gamma=90.00
Element x y z (fractional)
Mn (0.000, 0.000, 0.000)
Ba (0.500, 0.500, 0.500)
Zr (0.000, 0.000, 0.500)
Ti (0.000, 0.500, 0.000)
Ti (0.500, 0.000, 0.000)

=====

# 20
VASP calculation (SCAN) on a crystal of MnCrP relaxed with PBEsol.

Output
total energy = -15.96 eV per atom
calculated volume = 33 Å³/cell
calculated formation energy = -0.2831 eV per atom

Unit cell a=2.611 b=3.792 c=3.792 alpha=120.00 beta=90.00 gamma=90.00
Last column: magnetic moment on the atom in μB.
Element x y z (fractional)
Cr (0.500, 0.000, 0.000)  2.05
Mn (0.000, 0.667, 0.333)  -1.76
P (0.000, 0.333, 0.667)  -0.02